[1]
DFT (PBE) results for Ta2CrRh after structural relaxation.

Cell and atoms, written as extended XYZ:
```
4
Lattice="-2.4439 -1.7914 -3.2536 0.2167 -2.9636 -3.3072 -1.8197 -4.2507 2.6319" Properties=species:S:1:pos:R:3 pbc="T T T"
Cr -1.0117 -2.2514 -0.9822
Rh -3.0352 -6.7542 -2.9467
Ta -2.2409 -4.7882 -6.5110
Ta -2.0098 -4.4695 -2.0142
```

- ΔE_f: 77 meV/atom
- Space-group type: C2/m

[2]
DFT (PBE) results for Sr2MgNbN4 after structural relaxation.

Cell and atoms, written as extended XYZ:
```
16
Lattice="-5.2778 -0.3192 2.9254 2.0536 -4.8079 3.1804 2.6163 4.5697 5.2187" Properties=species:S:1:pos:R:3 pbc="T T T"
Sr -1.5361 -0.1192 3.4807
Nb -4.8418 -1.3391 3.6000
Mg 1.7649 1.2148 3.3174
N -0.6256 -2.6960 7.9402
Sr 2.2387 -2.5647 3.7830
N 0.6190 0.1541 7.3293
N -1.2916 -0.1463 0.7757
N -3.8893 -0.9766 5.3136
N -0.6274 -2.0228 4.8431
Nb 0.2875 -1.6626 6.5776
N 2.0052 -2.5574 6.4999
Sr -0.2147 2.1888 6.1165
N -2.5193 1.4161 8.0462
Mg -1.0427 -3.8975 3.9355
N -3.9557 -0.2869 2.2344
Sr 3.5336 -0.3030 6.3659
```

- Space-group type: Pmn2_1
- Formation energy without anion corrections: -0.78 eV per atom

[3]
DFT (PBE) results for Al2In after structural relaxation.

Cell and atoms, written as extended XYZ:
```
3
Lattice="-1.1346 4.9884 -2.8803 -4.2849 3.9441 0.7426 4.4994 -3.1342 2.0976" Properties=species:S:1:pos:R:3 pbc="T T T"
In 0.0000 0.0000 0.0000
Al -3.7208 6.1325 -1.4677
Al -1.6988 2.7999 -0.6701
```

- ΔE_f: 152 meV/atom
- Space-group type: Immm

The following calculated density values (in g/cm3) correspond, in order, to the records above: 13.37, 4.22, 4.53.
The following DFT total energy values (in eV for the cell shown) correspond, in order, to the records above: -40.4, -109.1, -9.8.